Entry 1:
A relaxed structure of SrP2Ru. Source: Alexandria via LeMat-Bulk, functional PBE-GGA.

- SG = I-42d (122)
- offset from the most stable computed form (meV per atom) = 231
- total magnetization (μB/atom) = 0.000
- DFT formation energy (meV/atom) = -460

Unit cell a=6.047 b=6.047 c=7.116 alpha=64.85 beta=64.85 gamma=90.00
Fractional positions:
1 Sr 0.250 0.750 0.500
2 Sr 0.500 0.500 0.000
3 P 0.875 0.985 0.750
4 P 0.015 0.625 0.250
5 P 0.735 0.125 0.250
6 P 0.375 0.265 0.750
7 Ru 0.000 0.000 0.000
8 Ru 0.750 0.250 0.500

***

Entry 2:
A relaxed structure of Pm2PuReN6. Source: Alexandria via LeMat-Bulk, functional PBE-GGA.

- calculated total energy (eV per atom) = -9.461
- SG = P2_1/c (14)
- total magnetization (μB/atom) = 0.302

Unit cell a=5.706 b=5.776 c=8.058 alpha=90.00 beta=90.64 gamma=90.00
Fractional positions:
1 N 0.207 0.214 0.048
2 N 0.793 0.786 0.952
3 N 0.911 0.519 0.242
4 N 0.707 0.286 0.548
5 N 0.776 0.796 0.548
6 N 0.411 0.981 0.742
7 N 0.276 0.704 0.048
8 N 0.724 0.296 0.952
9 N 0.293 0.714 0.452
10 N 0.589 0.019 0.258
11 N 0.089 0.481 0.758
12 N 0.224 0.204 0.452
13 Pu 0.500 0.000 0.000
14 Pu 0.000 0.500 0.500
15 Pm 0.011 0.956 0.249
16 Pm 0.489 0.456 0.251
17 Pm 0.989 0.044 0.751
18 Pm 0.511 0.544 0.749
19 Re 0.000 0.500 0.000
20 Re 0.500 0.000 0.500

***

Entry 3:
A relaxed structure of BaNaTc2. Source: Alexandria via LeMat-Bulk, functional PBE-GGA.

- SG = I-42d (122)
- offset from the most stable computed form (meV per atom) = 0
- total magnetization (μB/atom) = 0.514
- DFT formation energy (meV/atom) = 1545

Unit cell a=8.617 b=8.617 c=6.623 alpha=49.41 beta=49.41 gamma=90.00
Fractional positions:
1 Tc 0.152 0.625 0.250
2 Tc 0.875 0.848 0.750
3 Tc 0.598 0.125 0.250
4 Tc 0.375 0.402 0.750
5 Ba 0.000 0.000 0.000
6 Ba 0.750 0.250 0.500
7 Na 0.250 0.750 0.500
8 Na 0.500 0.500 0.000

***

Entry 4:
A relaxed structure of RbP2IrS. Source: Alexandria via LeMat-Bulk, functional PBE-GGA.

- SG = P4/mmm (123)
- offset from the most stable computed form (meV per atom) = 2596
- total magnetization (μB/atom) = 0.348

Unit cell a=5.237 b=5.237 c=5.155 alpha=90.00 beta=90.00 gamma=90.00
Fractional positions:
1 Rb 0.000 0.000 0.000
2 S 0.000 0.000 0.500
3 P 0.000 0.500 0.000
4 P 0.500 0.000 0.000
5 Ir 0.500 0.500 0.500

***

Entry 5:
A relaxed structure of SrScTlHg. Source: Alexandria via LeMat-Bulk, functional PBE-GGA.

- SG = F-43m (216)
- total magnetization (μB/atom) = 0.000
- DFT formation energy (meV/atom) = -307

Unit cell a=5.387 b=5.387 c=5.387 alpha=60.00 beta=60.00 gamma=60.00
Fractional positions:
1 Sr 0.500 0.500 0.500
2 Hg 0.750 0.750 0.750
3 Sc 0.000 0.000 0.000
4 Tl 0.250 0.250 0.250

***

Entry 6:
A relaxed structure of TaTcPb. Source: Alexandria via LeMat-Bulk, functional PBE-GGA.

- SG = I4mm (107)
- offset from the most stable computed form (meV per atom) = 0
- total magnetization (μB/atom) = 0.000
- DFT formation energy (meV/atom) = 309

Unit cell a=6.204 b=6.204 c=6.204 alpha=150.14 beta=150.14 gamma=42.74
Fractional positions:
1 Ta 0.306 0.306 0.000
2 Pb 0.008 0.008 0.000
3 Tc 0.686 0.686 0.000

***

What is the total magnetization in the third record?
0.514 μB/atom

***

Among the records above, which one has the highest total magnetization?
BaNaTc2